Compound: Rb4LiZn3F12
Source: the Alexandria database
Functional: PBE-GGA
Structure: relaxed

Results
formation energy from raw total energies	-2.4963	eV/atom
raw total energy	-4.099	eV/atom
crystal system	cubic
N(E_F)	0.5070	states/eV per atom

a b c (Å): 8.369 8.369 8.369
angles (deg): 90.00 90.00 90.00
Space group Im-3m (No. 229)
Unique sites:
Rb 0.250 0.250 0.250
Li 0.000 0.000 0.000
Zn 0.000 0.000 0.500
F 0.000 0.000 0.264
F 0.000 0.250 0.500